[1]
Compound: Li2LaGeH
Source: Alexandria via LeMat-Bulk
Functional: PBE
Structure: optimized geometry

Computed properties:
- final energy (eV/atom) = -3.79
- crystal system = tetragonal
- SG = P4/mmm, No. 123
- mass density (Mg/m³) = 4.00

Cell lengths 4.367, 4.367, 4.924 Å; angles 90.00, 90.00, 90.00 degrees
Element x y z (fractional)
Li1 0.500 0.000 0.000
La1 0.000 0.000 0.500
Ge1 0.500 0.500 0.500
Li2 0.000 0.500 0.000
H1 0.000 0.000 0.000

[2]
Compound: LaMg2GeH
Source: Alexandria via LeMat-Bulk
Functional: PBE
Structure: optimized geometry

Computed properties:
- final energy (eV/atom) = -3.55
- crystal system = tetragonal
- SG = P4/mmm, No. 123
- mass density (Mg/m³) = 4.44

Cell lengths 4.548, 4.548, 4.718 Å; angles 90.00, 90.00, 90.00 degrees
Element x y z (fractional)
La1 0.000 0.000 0.500
Mg1 0.500 0.000 0.000
H1 0.000 0.000 0.000
Ge1 0.500 0.500 0.500
Mg2 0.000 0.500 0.000

[3]
Compound: LaMgGeH
Source: Alexandria via LeMat-Bulk
Functional: PBE
Structure: optimized geometry

Computed properties:
- final energy (eV/atom) = -4.30
- crystal system = tetragonal
- SG = P4/nmm, No. 129
- mass density (Mg/m³) = 5.19

Cell lengths 4.345, 4.345, 8.035 Å; angles 90.00, 90.00, 90.00 degrees
Element x y z (fractional)
Mg1 0.500 0.500 0.500
La1 0.500 0.000 0.142
Ge1 0.500 0.000 0.715
H1 0.000 0.000 0.000
Mg2 0.000 0.000 0.500
La2 0.000 0.500 0.858
H2 0.500 0.500 0.000
Ge2 0.000 0.500 0.285

[4]
Compound: LaGeMoH2
Source: Alexandria via LeMat-Bulk
Functional: PBE
Structure: optimized geometry

Computed properties:
- final energy (eV/atom) = -4.67
- crystal system = tetragonal
- SG = P4/mmm, No. 123
- mass density (Mg/m³) = 5.84

Cell lengths 4.106, 5.219, 4.106 Å; angles 90.00, 90.00, 90.00 degrees
Element x y z (fractional)
H1 0.500 0.000 0.000
Mo1 0.000 0.000 0.000
Ge1 0.500 0.500 0.500
La1 0.000 0.500 0.000
H2 0.000 0.000 0.500

[5]
Compound: NaLa2GeH
Source: Alexandria via LeMat-Bulk
Functional: PBE
Structure: optimized geometry

Computed properties:
- final energy (eV/atom) = -4.23
- crystal system = tetragonal
- SG = P4/mmm, No. 123
- mass density (Mg/m³) = 5.50

Cell lengths 5.023, 5.023, 4.478 Å; angles 90.00, 90.00, 90.00 degrees
Element x y z (fractional)
La1 0.500 0.000 0.000
Na1 0.000 0.000 0.500
Ge1 0.500 0.500 0.500
La2 0.000 0.500 0.000
H1 0.000 0.000 0.000

[6]
Compound: La2Nd2Ge2H
Source: Alexandria via LeMat-Bulk
Functional: PBE
Structure: optimized geometry

Computed properties:
- final energy (eV/atom) = -5.19
- crystal system = tetragonal
- SG = I4/mmm, No. 139
- mass density (Mg/m³) = 6.53

Cell lengths 4.639, 4.639, 9.036 Å; angles 104.87, 104.87, 90.00 degrees
Site moments in Bohr magnetons follow the coordinates.
Element x y z (fractional)
Nd1 0.500 0.000 0.000  0.02
H1 0.000 0.000 0.000  0.00
Ge1 0.632 0.632 0.264  -0.01
La1 0.183 0.183 0.365  0.11
Nd2 0.000 0.500 0.000  0.02
Ge2 0.368 0.368 0.736  -0.01
La2 0.817 0.817 0.635  0.11

[7]
Compound: LaNi2GeH
Source: Alexandria via LeMat-Bulk
Functional: PBE
Structure: optimized geometry

Computed properties:
- final energy (eV/atom) = -5.48
- crystal system = orthorhombic
- SG = Cmcm, No. 63
- mass density (Mg/m³) = 7.56

Cell lengths 3.983, 5.720, 6.790 Å; angles 90.00, 90.00, 110.37 degrees
Element x y z (fractional)
La1 0.567 0.134 0.250
Ni1 0.165 0.331 0.558
Ni2 0.835 0.669 0.442
Ge1 0.717 0.434 0.750
H1 0.000 0.000 0.000
H2 0.000 0.000 0.500
Ge2 0.283 0.566 0.250
La2 0.433 0.866 0.750
Ni3 0.835 0.669 0.058
Ni4 0.165 0.331 0.942

[8]
Compound: La2Ni6GeH
Source: Alexandria via LeMat-Bulk
Functional: PBE
Structure: optimized geometry

Computed properties:
- final energy (eV/atom) = -5.59
- crystal system = triclinic
- SG = P-1, No. 2
- mass density (Mg/m³) = 7.99

Cell lengths 5.369, 6.611, 5.390 Å; angles 65.96, 60.02, 89.94 degrees
Element x y z (fractional)
Ni1 0.774 0.834 0.450
H1 0.000 0.000 0.000
La1 0.775 0.324 0.451
Ni2 0.226 0.166 0.550
Ni3 0.226 0.166 0.058
Ni4 0.718 0.167 0.057
Ni5 0.774 0.834 0.942
Ge1 0.500 0.500 0.000
Ni6 0.282 0.833 0.943
La2 0.225 0.676 0.549